*one*
An optimized crystal structure of Zn2CdIn. Source: Alexandria, functional PBE.

Cell lengths 7.761, 7.761, 6.241 Å; angles 51.55, 51.55, 90.00 degrees
Fractional positions:
Zn 0.875 0.870 0.750
Zn 0.130 0.625 0.250
Zn 0.375 0.380 0.750
Zn 0.620 0.125 0.250
Cd 0.250 0.750 0.500
Cd 0.500 0.500 0.000
In 0.000 0.000 0.000
In 0.750 0.250 0.500

Computed properties:
symmetry: I-42d (122)
total magnetic moment: 0.00 μB/f.u.

*two*
An optimized crystal structure of Zn2CdIn. Source: Alexandria, functional PBE.

Cell lengths 3.060, 3.956, 6.759 Å; angles 90.00, 90.00, 90.00 degrees
Fractional positions:
Zn 0.000 0.000 0.043
Zn 0.500 0.500 0.214
Cd 0.000 0.000 0.470
In 0.500 0.500 0.773

Computed properties:
symmetry: Pmm2 (25)
total magnetic moment: 0.00 μB/f.u.

The computed energies, referenced to the most stable structure and given in meV per atom, are *one* 91; *two* 0.

*one*
An optimized crystal structure of Zn2CdIn. Source: Alexandria, functional PBE.

Cell lengths 4.910, 4.910, 4.910 Å; angles 60.00, 60.00, 60.00 degrees
Fractional positions:
Zn 0.750 0.750 0.750
Zn 0.000 0.000 0.000
In 0.250 0.250 0.250
Cd 0.500 0.500 0.500

Computed properties:
symmetry: F-43m (216)
total magnetic moment: 0.00 μB/f.u.

*two*
An optimized crystal structure of Zn2CdIn. Source: Alexandria, functional PBE.

Cell lengths 8.851, 8.851, 8.851 Å; angles 21.60, 21.60, 21.60 degrees
Fractional positions:
Cd 0.250 0.250 0.250
Zn 0.502 0.502 0.502
Zn 0.998 0.998 0.998
In 0.750 0.750 0.750

Computed properties:
symmetry: R-3m (166)
total magnetic moment: 0.00 μB/f.u.

The computed energies, referenced to the most stable structure and given in meV per atom, are *one* 47; *two* 0.

*one*
An optimized crystal structure of Zn2CdIn. Source: Alexandria, functional PBE.

Cell lengths 5.318, 5.318, 5.318 Å; angles 132.50, 132.50, 69.44 degrees
Fractional positions:
Zn 0.000 0.000 0.000
Zn 0.250 0.750 0.500
In 0.750 0.250 0.500
Cd 0.500 0.500 0.000

Computed properties:
symmetry: I-4m2 (119)
total magnetic moment: 0.00 μB/f.u.

*two*
An optimized crystal structure of Zn2CdIn. Source: Alexandria, functional PBE.

Cell lengths 4.881, 4.881, 5.973 Å; angles 75.65, 75.65, 36.68 degrees
Fractional positions:
Zn 0.500 0.500 0.476
Zn 0.000 0.000 0.024
In 0.750 0.750 0.750
Cd 0.250 0.250 0.250

Computed properties:
symmetry: C2/m (12)
total magnetic moment: 0.00 μB/f.u.

The computed energies, referenced to the most stable structure and given in meV per atom, are *one* 8; *two* 0.

*one*
An optimized crystal structure of Zn2CdIn. Source: Alexandria, functional PBE.

Cell lengths 9.069, 9.069, 9.069 Å; angles 20.73, 20.73, 20.73 degrees
Fractional positions:
Zn 0.991 0.991 0.991
Zn 0.256 0.256 0.256
Cd 0.508 0.508 0.508
In 0.745 0.745 0.745

Computed properties:
symmetry: R3m (160)
total magnetic moment: 0.00 μB/f.u.

*two*
An optimized crystal structure of Zn2CdIn. Source: Alexandria, functional PBE.

Cell lengths 5.231, 5.231, 5.231 Å; angles 130.83, 130.83, 72.08 degrees
Fractional positions:
In 0.750 0.250 0.500
Cd 0.250 0.750 0.500
Zn 0.500 0.500 0.000
Zn 0.000 0.000 0.000

Computed properties:
symmetry: I4/mmm (139)
total magnetic moment: 0.00 μB/f.u.

The computed energies, referenced to the most stable structure and given in meV per atom, are *one* 0; *two* 31.

*one*
An optimized crystal structure of Zn2CdIn. Source: Alexandria, functional PBE.

Cell lengths 4.886, 4.886, 5.924 Å; angles 76.21, 76.21, 36.45 degrees
Fractional positions:
In 0.742 0.742 0.768
Zn 0.258 0.258 0.224
Zn 0.989 0.989 0.038
Cd 0.511 0.511 0.469

Computed properties:
symmetry: Cm (8)
total magnetic moment: 0.00 μB/f.u.

*two*
An optimized crystal structure of Zn2CdIn. Source: Alexandria, functional PBE.

Cell lengths 4.896, 4.896, 4.896 Å; angles 60.00, 60.00, 60.00 degrees
Fractional positions:
Zn 0.250 0.250 0.250
Zn 0.750 0.750 0.750
In 0.500 0.500 0.500
Cd 0.000 0.000 0.000

Computed properties:
symmetry: Fm-3m (225)
total magnetic moment: 0.00 μB/f.u.

The computed energies, referenced to the most stable structure and given in meV per atom, are *one* 0; *two* 62.

*one*
An optimized crystal structure of Zn2Cd2In. Source: Alexandria, functional PBE.

Cell lengths 8.345, 8.345, 3.035 Å; angles 90.00, 90.00, 90.00 degrees
Fractional positions:
Cd 0.816 0.316 0.500
Cd 0.184 0.684 0.500
Cd 0.684 0.816 0.500
Cd 0.316 0.184 0.500
In 0.500 0.500 0.000
In 0.000 0.000 0.000
Zn 0.113 0.387 0.000
Zn 0.887 0.613 0.000
Zn 0.613 0.113 0.000
Zn 0.387 0.887 0.000

Computed properties:
symmetry: P4/mbm (127)
total magnetic moment: 0.00 μB/f.u.

*two*
An optimized crystal structure of Zn2Cd2In. Source: Alexandria, functional PBE.

Cell lengths 4.018, 4.018, 7.388 Å; angles 74.22, 74.22, 90.00 degrees
Fractional positions:
Cd 0.394 0.394 0.212
Cd 0.606 0.606 0.788
Zn 0.250 0.750 0.500
Zn 0.750 0.250 0.500
In 0.000 0.000 0.000

Computed properties:
symmetry: I4/mmm (139)
total magnetic moment: 0.00 μB/f.u.

*three*
An optimized crystal structure of Zn2Cd2In. Source: Alexandria, functional PBE.

Cell lengths 4.158, 4.158, 7.064 Å; angles 72.88, 72.88, 90.00 degrees
Fractional positions:
Zn 0.596 0.596 0.807
Zn 0.404 0.404 0.193
In 0.000 0.000 0.000
Cd 0.250 0.750 0.500
Cd 0.750 0.250 0.500

Computed properties:
symmetry: I4/mmm (139)
total magnetic moment: 0.00 μB/f.u.

*four*
An optimized crystal structure of Zn2Cd2In. Source: Alexandria, functional PBE.

Cell lengths 8.537, 8.537, 2.925 Å; angles 90.00, 90.00, 90.00 degrees
Fractional positions:
Cd 0.363 0.863 0.000
Cd 0.137 0.363 0.000
Cd 0.637 0.137 0.000
Cd 0.863 0.637 0.000
Zn 0.838 0.338 0.500
Zn 0.338 0.162 0.500
Zn 0.162 0.662 0.500
Zn 0.662 0.838 0.500
In 0.500 0.500 0.000
In 0.000 0.000 0.000

Computed properties:
symmetry: P4/mbm (127)
total magnetic moment: 0.00 μB/f.u.

The computed energies, referenced to the most stable structure and given in meV per atom, are *one* 0; *two* 22; *three* 28; *four* 14.

*one*
An optimized crystal structure of ZnCd2In. Source: Alexandria, functional PBE.

Cell lengths 3.574, 3.574, 7.127 Å; angles 90.00, 90.00, 90.00 degrees
Fractional positions:
Cd 0.000 0.000 0.218
Cd 0.000 0.000 0.782
Zn 0.500 0.500 0.000
In 0.500 0.500 0.500

Computed properties:
symmetry: P4/mmm (123)
total magnetic moment: 0.00 μB/f.u.

*two*
An optimized crystal structure of ZnCd2In. Source: Alexandria, functional PBE.

Cell lengths 3.200, 3.199, 8.563 Å; angles 90.00, 90.00, 91.08 degrees
Fractional positions:
Cd 0.500 0.500 0.239
Cd 0.000 0.000 0.982
In 0.000 0.000 0.519
Zn 0.500 0.500 0.760

Computed properties:
symmetry: Cmm2 (35)
total magnetic moment: 0.00 μB/f.u.

The computed energies, referenced to the most stable structure and given in meV per atom, are *one* 33; *two* 0.

*one*
An optimized crystal structure of Zn2CdIn2. Source: Alexandria, functional PBE.

Cell lengths 8.591, 8.591, 3.073 Å; angles 90.00, 90.00, 90.00 degrees
Fractional positions:
Zn 0.344 0.156 0.500
Zn 0.656 0.844 0.500
Zn 0.156 0.656 0.500
Zn 0.844 0.344 0.500
In 0.858 0.642 0.000
In 0.142 0.358 0.000
In 0.358 0.858 0.000
In 0.642 0.142 0.000
Cd 0.000 0.000 0.000
Cd 0.500 0.500 0.000

Computed properties:
symmetry: P4/mbm (127)
total magnetic moment: 0.00 μB/f.u.

*two*
An optimized crystal structure of Zn2CdIn2. Source: Alexandria, functional PBE.

Cell lengths 3.652, 3.652, 8.999 Å; angles 78.29, 78.29, 90.00 degrees
Fractional positions:
In 0.611 0.611 0.778
In 0.389 0.389 0.222
Cd 0.000 0.000 0.000
Zn 0.250 0.750 0.500
Zn 0.750 0.250 0.500

Computed properties:
symmetry: I4/mmm (139)
total magnetic moment: 0.00 μB/f.u.

*three*
An optimized crystal structure of Zn2CdIn2. Source: Alexandria, functional PBE.

Cell lengths 4.265, 4.265, 7.016 Å; angles 72.31, 72.31, 90.00 degrees
Fractional positions:
In 0.250 0.750 0.500
In 0.750 0.250 0.500
Zn 0.596 0.596 0.809
Zn 0.404 0.404 0.191
Cd 0.000 0.000 0.000

Computed properties:
symmetry: I4/mmm (139)
total magnetic moment: 0.00 μB/f.u.

The computed energies, referenced to the most stable structure and given in meV per atom, are *one* 15; *two* 0; *three* 33.